(1)
A relaxed structure of Ho2TmPuSe4, computed with GGA-PBE.

```
data_Ho2TmPuSe4
_cell_length_a 7.048
_cell_length_b 4.047
_cell_length_c 7.053
_cell_angle_alpha 90.00
_cell_angle_beta 109.13
_cell_angle_gamma 90.00
_symmetry_space_group_name_H-M 'P 1 2/m 1'
_symmetry_Int_Tables_number 10
loop_
_symmetry_equiv_pos_as_xyz
'x,y,z'
'-x,-y,-z'
'-x,y,-z'
'x,-y,z'
loop_
_atom_site_label
_atom_site_type_symbol
_atom_site_fract_x
_atom_site_fract_y
_atom_site_fract_z
Ho1 Ho 0.000 0.000 0.000
Ho2 Ho 0.000 0.500 0.500
Tm1 Tm 0.500 0.000 0.500
Pu1 Pu 0.500 0.500 0.000
Se1 Se 0.247 0.000 0.744
Se2 Se 0.250 0.500 0.255
```

E_tot: -55.34 eV/f.u.
E_form (uncorrected): -13.45 eV per formula unit
crystal system: monoclinic
volume: 23.76 Å³/atom
DOS(E_F): 8.507 states/eV per cell

(2)
A relaxed structure of ZrTlAg2Ir, computed with GGA-PBE.

```
data_ZrTlAg2Ir
_cell_length_a 4.970
_cell_length_b 4.970
_cell_length_c 5.471
_cell_angle_alpha 90.00
_cell_angle_beta 90.00
_cell_angle_gamma 90.00
_symmetry_space_group_name_H-M 'P 4/m m m'
_symmetry_Int_Tables_number 123
_symmetry_space_group_name_Hall '-P 4 2'
loop_
_atom_site_label
_atom_site_type_symbol
_atom_site_fract_x
_atom_site_fract_y
_atom_site_fract_z
Zr1 Zr 0.000 0.000 0.000
Tl1 Tl 0.000 0.000 0.500
Ag1 Ag 0.000 0.500 0.500
Ir1 Ir 0.500 0.500 0.000
```

E_tot: -17.78 eV/f.u.
crystal system: tetragonal
formation energy: 35.5 kcal/mol of atoms
volume: 27.02 Å³/atom
DOS(E_F): 5.053 states/eV per cell

(3)
A relaxed structure of NdFe2SiC, computed with GGA-PBE.

```
data_NdFe2SiC
_cell_length_a 3.900
_cell_length_b 10.530
_cell_length_c 6.779
_cell_angle_alpha 90.00
_cell_angle_beta 90.00
_cell_angle_gamma 90.00
_symmetry_space_group_name_H-M 'C m c m'
_symmetry_Int_Tables_number 63
_symmetry_space_group_name_Hall '-C 2c 2'
loop_
_atom_site_label
_atom_site_type_symbol
_atom_site_fract_x
_atom_site_fract_y
_atom_site_fract_z
Nd1 Nd 0.000 0.054 0.250
Fe1 Fe 0.000 0.335 0.065
Si1 Si 0.000 0.228 0.750
C1 C 0.000 0.500 0.000
```

E_tot: -38.43 eV/f.u.
E_form (uncorrected): -2.09 eV per formula unit
crystal system: orthorhombic
volume: 13.92 Å³/atom
DOS(E_F): 16.473 states/eV per cell

(4)
A relaxed structure of InAgAs2, computed with GGA-PBE.

```
data_InAgAs2
_cell_length_a 2.987
_cell_length_b 4.400
_cell_length_c 6.875
_cell_angle_alpha 90.00
_cell_angle_beta 101.85
_cell_angle_gamma 90.00
_symmetry_space_group_name_H-M 'P 1 2/m 1'
_symmetry_Int_Tables_number 10
loop_
_symmetry_equiv_pos_as_xyz
'x,y,z'
'-x,-y,-z'
'-x,y,-z'
'x,-y,z'
loop_
_atom_site_label
_atom_site_type_symbol
_atom_site_fract_x
_atom_site_fract_y
_atom_site_fract_z
In1 In 0.000 0.000 0.000
Ag1 Ag 0.500 0.000 0.500
As1 As 0.101 0.500 0.694
```

E_tot: -14.16 eV/f.u.
crystal system: monoclinic
formation energy: 4.2 kcal/mol of atoms
volume: 22.11 Å³/atom
DOS(E_F): 1.102 states/eV per cell

(5)
A relaxed structure of Pr2TmHg2, computed with GGA-PBE.

```
data_Pr2TmHg2
_cell_length_a 7.848
_cell_length_b 7.848
_cell_length_c 4.860
_cell_angle_alpha 90.00
_cell_angle_beta 90.00
_cell_angle_gamma 90.00
_symmetry_space_group_name_H-M 'P 4/m b m'
_symmetry_Int_Tables_number 127
_symmetry_space_group_name_Hall '-P 4 2ab'
loop_
_atom_site_label
_atom_site_type_symbol
_atom_site_fract_x
_atom_site_fract_y
_atom_site_fract_z
Pr1 Pr 0.167 0.333 0.000
Tm1 Tm 0.000 0.000 0.500
Hg1 Hg 0.135 0.635 0.500
```

E_tot: -16.32 eV/f.u.
crystal system: tetragonal
formation energy: -7.8 kcal/mol of atoms
volume: 29.94 Å³/atom
DOS(E_F): 14.570 states/eV per cell

(6)
A relaxed structure of Mn3BeIr, computed with GGA-PBE.

```
data_Mn3BeIr
_cell_length_a 3.856
_cell_length_b 3.856
_cell_length_c 3.856
_cell_angle_alpha 90.00
_cell_angle_beta 90.00
_cell_angle_gamma 90.00
_symmetry_space_group_name_H-M 'P m -3 m'
_symmetry_Int_Tables_number 221
_symmetry_space_group_name_Hall '-P 4 2 3'
loop_
_atom_site_label
_atom_site_type_symbol
_atom_site_fract_x
_atom_site_fract_y
_atom_site_fract_z
Mn1 Mn 0.000 0.000 0.500
Be1 Be 0.000 0.000 0.000
Ir1 Ir 0.500 0.500 0.500
```

E_tot: -37.26 eV/f.u.
crystal system: cubic
formation energy: 13.1 kcal/mol of atoms
volume: 11.47 Å³/atom
DOS(E_F): 5.641 states/eV per cell

Copy entry 3 word for word.
A relaxed structure of NdFe2SiC, computed with GGA-PBE.

```
data_NdFe2SiC
_cell_length_a 3.900
_cell_length_b 10.530
_cell_length_c 6.779
_cell_angle_alpha 90.00
_cell_angle_beta 90.00
_cell_angle_gamma 90.00
_symmetry_space_group_name_H-M 'C m c m'
_symmetry_Int_Tables_number 63
_symmetry_space_group_name_Hall '-C 2c 2'
loop_
_atom_site_label
_atom_site_type_symbol
_atom_site_fract_x
_atom_site_fract_y
_atom_site_fract_z
Nd1 Nd 0.000 0.054 0.250
Fe1 Fe 0.000 0.335 0.065
Si1 Si 0.000 0.228 0.750
C1 C 0.000 0.500 0.000
```

E_tot: -38.43 eV/f.u.
E_form (uncorrected): -2.09 eV per formula unit
crystal system: orthorhombic
volume: 13.92 Å³/atom
DOS(E_F): 16.473 states/eV per cell

Q: Which of these has the highest E_tot?
A: InAgAs2

Q: Which of these has the highest volume?
A: Pr2TmHg2